1.
Material: SmSc2Hg
Method: DFT, GGA-PBE
State: optimized geometry

Cell and atoms, written as CIF:
```
data_SmSc2Hg
_chemical_formula_sum 'Sm1 Sc2 Hg1'
_cell_length_a 4.6322
_cell_length_b 4.6322
_cell_length_c 4.6265
_cell_angle_alpha 90.00
_cell_angle_beta 90.00
_cell_angle_gamma 90.00
_symmetry_space_group_name_H-M 'P 1'
_symmetry_Int_Tables_number 1
loop_
_symmetry_equiv_pos_as_xyz
'x,y,z'
loop_
_atom_site_label
_atom_site_fract_x
_atom_site_fract_y
_atom_site_fract_z
_atom_site_occupancy
Sm1 0.0000 0.0000 0.0000 1
Sc1 0.0000 0.5000 0.5000 1
Sc2 0.5000 0.0000 0.5000 1
Hg1 0.5000 0.5000 0.0000 1
```

Calculated values
The distance to the lowest polymorph of the same formula comes out at 29 meV/atom. The space group is P4/mmm (123). Its energy of formation is -0.162 eV/atom.

***

2.
Material: SmScHg4
Method: DFT, GGA-PBE
State: optimized geometry

Cell and atoms, written as CIF:
```
data_SmScHg4
_chemical_formula_sum 'Sm1 Sc1 Hg4'
_cell_length_a 3.8725
_cell_length_b 5.1525
_cell_length_c 7.5202
_cell_angle_alpha 90.00
_cell_angle_beta 104.87
_cell_angle_gamma 90.00
_symmetry_space_group_name_H-M 'P 1'
_symmetry_Int_Tables_number 1
loop_
_symmetry_equiv_pos_as_xyz
'x,y,z'
loop_
_atom_site_label
_atom_site_fract_x
_atom_site_fract_y
_atom_site_fract_z
_atom_site_occupancy
Sm1 0.0000 0.0000 0.0000 1
Sc1 0.7926 0.5000 0.5815 1
Hg1 0.1339 0.5000 0.2633 1
Hg2 0.3280 0.0000 0.6554 1
Hg3 0.4542 0.5000 0.9060 1
Hg4 0.6699 0.0000 0.3399 1
```

Calculated values
The distance to the lowest polymorph of the same formula comes out at 0 meV/atom. The space group is Pm (6). Its energy of formation is -0.334 eV/atom.

***

3.
Material: Sm2ScHg
Method: DFT, GGA-PBE
State: optimized geometry

Cell and atoms, written as CIF:
```
data_Sm2ScHg
_chemical_formula_sum 'Sm2 Sc1 Hg1'
_cell_length_a 11.8108
_cell_length_b 11.8108
_cell_length_c 11.8108
_cell_angle_alpha 16.61
_cell_angle_beta 16.61
_cell_angle_gamma 16.61
_symmetry_space_group_name_H-M 'P 1'
_symmetry_Int_Tables_number 1
loop_
_symmetry_equiv_pos_as_xyz
'x,y,z'
loop_
_atom_site_label
_atom_site_fract_x
_atom_site_fract_y
_atom_site_fract_z
_atom_site_occupancy
Sm1 0.0922 0.0922 0.0922 1
Sm2 0.9078 0.9078 0.9078 1
Sc1 0.0000 0.0000 0.0000 1
Hg1 0.5000 0.5000 0.5000 1
```

Calculated values
The distance to the lowest polymorph of the same formula comes out at 320 meV/atom. The space group is R-3m (166). Its energy of formation is 0.131 eV/atom.

***

4.
Material: SmScHg2
Method: DFT, GGA-PBE
State: optimized geometry

Cell and atoms, written as CIF:
```
data_SmScHg2
_chemical_formula_sum 'Sm1 Sc1 Hg2'
_cell_length_a 5.1897
_cell_length_b 5.1897
_cell_length_c 5.1897
_cell_angle_alpha 60.00
_cell_angle_beta 60.00
_cell_angle_gamma 60.00
_symmetry_space_group_name_H-M 'P 1'
_symmetry_Int_Tables_number 1
loop_
_symmetry_equiv_pos_as_xyz
'x,y,z'
loop_
_atom_site_label
_atom_site_fract_x
_atom_site_fract_y
_atom_site_fract_z
_atom_site_occupancy
Sm1 0.0000 0.0000 0.0000 1
Sc1 0.5000 0.5000 0.5000 1
Hg1 0.2500 0.2500 0.2500 1
Hg2 0.7500 0.7500 0.7500 1
```

Calculated values
The distance to the lowest polymorph of the same formula comes out at 14 meV/atom. The space group is Fm-3m (225). Its energy of formation is -0.433 eV/atom.

***

5.
Material: Sm2ScHg4
Method: DFT, GGA-PBE
State: optimized geometry

Cell and atoms, written as CIF:
```
data_Sm2ScHg4
_chemical_formula_sum 'Sm2 Sc1 Hg4'
_cell_length_a 8.5878
_cell_length_b 8.5878
_cell_length_c 8.5878
_cell_angle_alpha 143.32
_cell_angle_beta 143.32
_cell_angle_gamma 52.84
_symmetry_space_group_name_H-M 'P 1'
_symmetry_Int_Tables_number 1
loop_
_symmetry_equiv_pos_as_xyz
'x,y,z'
loop_
_atom_site_label
_atom_site_fract_x
_atom_site_fract_y
_atom_site_fract_z
_atom_site_occupancy
Sm1 0.1111 0.1111 0.0000 1
Sm2 0.8889 0.8889 0.0000 1
Sc1 0.5000 0.5000 0.0000 1
Hg1 0.0000 0.5000 0.5000 1
Hg2 0.3127 0.3127 0.0000 1
Hg3 0.5000 0.0000 0.5000 1
Hg4 0.6873 0.6873 0.0000 1
```

Calculated values
The distance to the lowest polymorph of the same formula comes out at 282 meV/atom. The space group is I4/mmm (139). Its energy of formation is -0.052 eV/atom.

***

6.
Material: Sm2ScHg
Method: DFT, GGA-PBE
State: optimized geometry

Cell and atoms, written as CIF:
```
data_Sm2ScHg
_chemical_formula_sum 'Sm2 Sc1 Hg1'
_cell_length_a 5.4905
_cell_length_b 5.4905
_cell_length_c 3.6767
_cell_angle_alpha 90.00
_cell_angle_beta 90.00
_cell_angle_gamma 90.00
_symmetry_space_group_name_H-M 'P 1'
_symmetry_Int_Tables_number 1
loop_
_symmetry_equiv_pos_as_xyz
'x,y,z'
loop_
_atom_site_label
_atom_site_fract_x
_atom_site_fract_y
_atom_site_fract_z
_atom_site_occupancy
Sm1 0.0000 0.5000 0.0000 1
Sm2 0.5000 0.0000 0.0000 1
Sc1 0.0000 0.0000 0.5000 1
Hg1 0.5000 0.5000 0.5000 1
```

Calculated values
The distance to the lowest polymorph of the same formula comes out at 29 meV/atom. The space group is P4/mmm (123). Its energy of formation is -0.159 eV/atom.

***

7.
Material: Sm3ScHg
Method: DFT, GGA-PBE
State: optimized geometry

Cell and atoms, written as CIF:
```
data_Sm3ScHg
_chemical_formula_sum 'Sm6 Sc2 Hg2'
_cell_length_a 6.7006
_cell_length_b 6.7006
_cell_length_c 7.9610
_cell_angle_alpha 108.19
_cell_angle_beta 108.19
_cell_angle_gamma 66.64
_symmetry_space_group_name_H-M 'P 1'
_symmetry_Int_Tables_number 1
loop_
_symmetry_equiv_pos_as_xyz
'x,y,z'
loop_
_atom_site_label
_atom_site_fract_x
_atom_site_fract_y
_atom_site_fract_z
_atom_site_occupancy
Sm1 0.0462 0.0462 0.2291 1
Sm2 0.0922 0.5811 0.3573 1
Sm3 0.4189 0.9078 0.6427 1
Sm4 0.5811 0.0922 0.3573 1
Sm5 0.9078 0.4189 0.6427 1
Sm6 0.9538 0.9538 0.7709 1
Sc1 0.4400 0.4400 0.7574 1
Sc2 0.5600 0.5600 0.2426 1
Hg1 0.2751 0.2751 0.9984 1
Hg2 0.7249 0.7249 0.0016 1
```

Calculated values
The distance to the lowest polymorph of the same formula comes out at 0 meV/atom. The space group is C2/m (12). Its energy of formation is -0.079 eV/atom.

***

8.
Material: Sm2ScHg
Method: DFT, GGA-PBE
State: optimized geometry

Cell and atoms, written as CIF:
```
data_Sm2ScHg
_chemical_formula_sum 'Sm2 Sc1 Hg1'
_cell_length_a 3.6640
_cell_length_b 3.6640
_cell_length_c 8.4579
_cell_angle_alpha 90.00
_cell_angle_beta 90.00
_cell_angle_gamma 90.00
_symmetry_space_group_name_H-M 'P 1'
_symmetry_Int_Tables_number 1
loop_
_symmetry_equiv_pos_as_xyz
'x,y,z'
loop_
_atom_site_label
_atom_site_fract_x
_atom_site_fract_y
_atom_site_fract_z
_atom_site_occupancy
Sm1 0.0000 0.0000 0.2384 1
Sm2 0.0000 0.0000 0.7616 1
Sc1 0.5000 0.5000 0.5000 1
Hg1 0.5000 0.5000 0.0000 1
```

Calculated values
The distance to the lowest polymorph of the same formula comes out at 0 meV/atom. The space group is P4/mmm (123). Its energy of formation is -0.189 eV/atom.

***

9.
Material: Sm3ScHg
Method: DFT, GGA-PBE
State: optimized geometry

Cell and atoms, written as CIF:
```
data_Sm3ScHg
_chemical_formula_sum 'Sm6 Sc2 Hg2'
_cell_length_a 11.1036
_cell_length_b 11.1036
_cell_length_c 8.0417
_cell_angle_alpha 105.84
_cell_angle_beta 105.84
_cell_angle_gamma 18.35
_symmetry_space_group_name_H-M 'P 1'
_symmetry_Int_Tables_number 1
loop_
_symmetry_equiv_pos_as_xyz
'x,y,z'
loop_
_atom_site_label
_atom_site_fract_x
_atom_site_fract_y
_atom_site_fract_z
_atom_site_occupancy
Sm1 0.0151 0.0151 0.2421 1
Sm2 0.1771 0.1771 0.4565 1
Sm3 0.3762 0.3762 0.9599 1
Sm4 0.6238 0.6238 0.0401 1
Sm5 0.8229 0.8229 0.5435 1
Sm6 0.9849 0.9849 0.7579 1
Sc1 0.2634 0.2634 0.1719 1
Sc2 0.7366 0.7366 0.8281 1
Hg1 0.4157 0.4157 0.3844 1
Hg2 0.5843 0.5843 0.6156 1
```

Calculated values
The distance to the lowest polymorph of the same formula comes out at 4 meV/atom. The space group is C2/m (12). Its energy of formation is -0.075 eV/atom.

***

10.
Material: SmSc5Hg3
Method: DFT, GGA-PBE
State: optimized geometry

Cell and atoms, written as CIF:
```
data_SmSc5Hg3
_chemical_formula_sum 'Sm2 Sc10 Hg6'
_cell_length_a 8.6727
_cell_length_b 8.6727
_cell_length_c 6.4964
_cell_angle_alpha 90.00
_cell_angle_beta 90.00
_cell_angle_gamma 120.00
_symmetry_space_group_name_H-M 'P 1'
_symmetry_Int_Tables_number 1
loop_
_symmetry_equiv_pos_as_xyz
'x,y,z'
loop_
_atom_site_label
_atom_site_fract_x
_atom_site_fract_y
_atom_site_fract_z
_atom_site_occupancy
Sm1 0.0000 0.0000 0.0000 1
Sm2 0.0000 0.0000 0.5000 1
Sc1 0.0000 0.3379 0.2500 1
Sc2 0.0000 0.6621 0.7500 1
Sc3 0.3333 0.6667 0.0000 1
Sc4 0.3333 0.6667 0.5000 1
Sc5 0.3379 0.0000 0.2500 1
Sc6 0.3379 0.3379 0.7500 1
Sc7 0.6621 0.0000 0.7500 1
Sc8 0.6621 0.6621 0.2500 1
Sc9 0.6667 0.3333 0.0000 1
Sc10 0.6667 0.3333 0.5000 1
Hg1 0.0000 0.3381 0.7500 1
Hg2 0.0000 0.6619 0.2500 1
Hg3 0.3381 0.0000 0.7500 1
Hg4 0.3381 0.3381 0.2500 1
Hg5 0.6619 0.0000 0.2500 1
Hg6 0.6619 0.6619 0.7500 1
```

Calculated values
The space group is P6_3/mcm (193). Its energy of formation is -0.292 eV/atom.

***

11.
Material: Sm4ScHg3
Method: DFT, GGA-PBE
State: optimized geometry

Cell and atoms, written as CIF:
```
data_Sm4ScHg3
_chemical_formula_sum 'Sm4 Sc1 Hg3'
_cell_length_a 3.7362
_cell_length_b 5.3755
_cell_length_c 11.0098
_cell_angle_alpha 90.00
_cell_angle_beta 90.00
_cell_angle_gamma 90.00
_symmetry_space_group_name_H-M 'P 1'
_symmetry_Int_Tables_number 1
loop_
_symmetry_equiv_pos_as_xyz
'x,y,z'
loop_
_atom_site_label
_atom_site_fract_x
_atom_site_fract_y
_atom_site_fract_z
_atom_site_occupancy
Sm1 0.0000 0.0000 0.0000 1
Sm2 0.0000 0.0000 0.5000 1
Sm3 0.0000 0.5000 0.2417 1
Sm4 0.0000 0.5000 0.7583 1
Sc1 0.5000 0.5000 0.5000 1
Hg1 0.5000 0.0000 0.2625 1
Hg2 0.5000 0.0000 0.7375 1
Hg3 0.5000 0.5000 0.0000 1
```

Calculated values
The space group is Pmmm (47). Its energy of formation is -0.311 eV/atom.

***

12.
Material: SmSc2Hg
Method: DFT, GGA-PBE
State: optimized geometry

Cell and atoms, written as CIF:
```
data_SmSc2Hg
_chemical_formula_sum 'Sm1 Sc2 Hg1'
_cell_length_a 3.4411
_cell_length_b 3.4411
_cell_length_c 8.5700
_cell_angle_alpha 90.00
_cell_angle_beta 90.00
_cell_angle_gamma 90.00
_symmetry_space_group_name_H-M 'P 1'
_symmetry_Int_Tables_number 1
loop_
_symmetry_equiv_pos_as_xyz
'x,y,z'
loop_
_atom_site_label
_atom_site_fract_x
_atom_site_fract_y
_atom_site_fract_z
_atom_site_occupancy
Sm1 0.0000 0.0000 0.0000 1
Sc1 0.5000 0.5000 0.2847 1
Sc2 0.5000 0.5000 0.7153 1
Hg1 0.0000 0.0000 0.5000 1
```

Calculated values
The distance to the lowest polymorph of the same formula comes out at 0 meV/atom. The space group is P4/mmm (123). Its energy of formation is -0.190 eV/atom.

***

Number 1: DFT total energy -18.33 eV per cell. Number 2: DFT total energy -14.26 eV per cell. Number 3: DFT total energy -15.55 eV per cell. Number 4: DFT total energy -13.39 eV per cell. Number 5: DFT total energy -17.34 eV per cell. Number 6: DFT total energy -16.71 eV per cell. Number 7: DFT total energy -42.38 eV per cell. Number 8: DFT total energy -16.83 eV per cell. Number 9: DFT total energy -42.33 eV per cell. Number 10: DFT total energy -79.82 eV per cell. Number 11: DFT total energy -28.60 eV per cell. Number 12: DFT total energy -18.45 eV per cell.